P:
Compound: KSrRe2
Source: Alexandria via LeMat-Bulk
Functional: meta-GGA SCAN
Structure: PBEsol geometry

Values from the calculation:
N(E_F) = 2.03 states/eV/f.u.
Volume = 95.48 Å³/cell

Unit cell a=5.130 b=5.130 c=5.130 alpha=60.00 beta=60.00 gamma=60.00
Fractional positions:
1 K 0.000 0.000 0.000
2 Re 0.250 0.250 0.250
3 Re 0.750 0.750 0.750
4 Sr 0.500 0.500 0.500

Q:
Compound: KSrRe2
Source: Alexandria via LeMat-Bulk
Functional: meta-GGA SCAN
Structure: PBEsol geometry

Values from the calculation:
N(E_F) = 3.91 states/eV/f.u.
Volume = 108.20 Å³/cell

Unit cell a=3.670 b=5.598 c=6.240 alpha=116.65 beta=107.10 gamma=90.00
Fractional positions:
1 K 0.274 0.774 0.548
2 Re 0.052 0.052 0.105
3 Re 0.687 0.187 0.375
4 Sr 0.486 0.486 0.972

Relative energy table, unit meV/atom: P 1449; Q 0

P:
Compound: KTaRe2
Source: Alexandria via LeMat-Bulk
Functional: meta-GGA SCAN
Structure: PBEsol geometry

Values from the calculation:
N(E_F) = 4.21 states/eV/f.u.
Volume = 71.97 Å³/cell

Unit cell a=2.782 b=2.782 c=10.857 alpha=82.64 beta=82.64 gamma=60.00
Fractional positions:
1 K 0.000 0.000 0.000
2 Re 0.240 0.240 0.279
3 Re 0.760 0.760 0.721
4 Ta 0.500 0.500 0.500

Q:
Compound: KTaRe2
Source: Alexandria via LeMat-Bulk
Functional: meta-GGA SCAN
Structure: PBEsol geometry

Values from the calculation:
N(E_F) = 2.64 states/eV/f.u.
Volume = 72.50 Å³/cell

Unit cell a=2.751 b=2.751 c=10.211 alpha=90.00 beta=90.00 gamma=110.26
Fractional positions:
1 K 0.500 0.500 0.000
2 Re 0.000 0.000 0.289
3 Re 0.000 0.000 0.711
4 Ta 0.500 0.500 0.500

Relative energy table, unit meV/atom: P 254; Q 0